Record 1
Entry from the Alexandria database: a crystal of Li3CaTl relaxed with PBEsol (SCAN).

It has space group Pm-3m (No. 221), with a = 5.072 Å, b = 5.072 Å, c = 5.072 Å, α = 90.00°, β = 90.00° and γ = 90.00°. Symmetry generates all atoms from Li at (0.000, 0.000, 0.500), Ca at (0.500, 0.500, 0.500) and Tl at (0.000, 0.000, 0.000).

The calculation puts the total magnetization at 0.0 μB per formula unit. The calculation puts the formation energy at -0.62 eV/f.u. The total energy comes out at -17.962 eV/atom.



Record 2
Entry from the Alexandria database: a crystal of Li2CaTl relaxed with PBEsol (SCAN).

It has space group Cm (No. 8), with a = 9.905 Å, b = 4.347 Å, c = 4.999 Å, α = 90.00°, β = 120.03° and γ = 90.00°. Symmetry generates all atoms from Li at (0.000, 0.000, 0.000), Li at (0.228, 0.500, 0.227), Ca at (0.232, 0.000, 0.730) and Tl at (0.465, 0.000, 0.461).

The calculation puts the total magnetization at 0.0 μB per formula unit. The calculation puts the formation energy at -1.30 eV/f.u. The total energy comes out at -22.026 eV/atom.



Record 3
Entry from the Alexandria database: a crystal of LiCaW relaxed with PBEsol (SCAN).

It has space group P3m1 (No. 156), with a = 2.9121 Å, b = 2.9121 Å, c = 7.9862 Å, α = 90.00°, β = 90.00° and γ = 120.00°. Symmetry generates all atoms from Li at (0.0000, 0.0000, 0.0000), Ca at (0.6667, 0.3333, 0.3820) and W at (0.3333, 0.6667, 0.7035).

The value obtained for the excess energy over the best structure of this formula in the dataset is 0.0000 eV per atom. The calculation puts the total magnetization at 0.0 μB per formula unit. The calculation puts the formation energy at 2.68 eV/f.u. The total energy comes out at -26.355 eV/atom.



Record 4
Entry from the Alexandria database: a crystal of LiCaW relaxed with PBEsol (SCAN).

It has space group F-43m (No. 216), with a = 6.540 Å, b = 6.540 Å, c = 6.540 Å, α = 90.00°, β = 90.00° and γ = 90.00°. Symmetry generates all atoms from Li at (0.000, 0.000, 0.000), Ca at (0.250, 0.250, 0.250) and W at (0.250, 0.250, 0.750).

The value obtained for the excess energy over the best structure of this formula in the dataset is 0.8465 eV per atom. The calculation puts the total magnetization at 3.9 μB per formula unit. The calculation puts the formation energy at 5.22 eV/f.u. The total energy comes out at -25.508 eV/atom.